Cs2LiPd3F12 | GGA-PBE | optimized geometry

abc: 7.1061 7.1061 7.1061
angles: 63.83 63.83 63.83
Atoms (fractional coordinates):
Cs: 0.3708 0.3708 0.3708
F: 0.0717 0.6704 0.6704
F: 0.9216 0.9216 0.3218
Pd: 0.0000 0.0000 0.5000
Pd: 0.0000 0.5000 0.0000
Li: 0.0000 0.0000 0.0000
F: 0.0784 0.0784 0.6782
F: 0.6704 0.6704 0.0717
F: 0.6704 0.0717 0.6704
F: 0.9216 0.3218 0.9216
Pd: 0.5000 0.0000 0.0000
F: 0.3218 0.9216 0.9216
F: 0.3296 0.3296 0.9283
F: 0.0784 0.6782 0.0784
F: 0.9283 0.3296 0.3296
Cs: 0.6292 0.6292 0.6292
F: 0.3296 0.9283 0.3296
F: 0.6782 0.0784 0.0784

Final energy   -74.7 eV/cell
Symmetry   R-3m (166)
Crystal system   trigonal

LiTa2Tl | GGA-PBE | optimized geometry

abc: 4.7328 4.7328 4.7328
angles: 60.00 60.00 60.00
Atoms (fractional coordinates):
Ta: 0.7500 0.7500 0.7500
Ta: 0.0000 0.0000 0.0000
Li: 0.2500 0.2500 0.2500
Tl: 0.5000 0.5000 0.5000

Size of the total moment   0.70 μB/cell
Final energy   -25.6 eV/cell
Symmetry   F-43m (216)
Crystal system   cubic

KHoAsSe3 | GGA-PBE | optimized geometry

abc: 7.8926 7.8926 11.5124
angles: 90.00 90.00 147.92
Atoms (fractional coordinates):
Se: 0.6238 0.3762 0.0151
Se: 0.3762 0.6238 0.5151
Se: 0.9920 0.0080 0.7500
K: 0.2830 0.7170 0.2500
As: 0.4061 0.5939 0.7500
Se: 0.0080 0.9920 0.2500
Ho: 0.0000 0.0000 0.0000
Se: 0.6238 0.3762 0.4849
Se: 0.3762 0.6238 0.9849
As: 0.5939 0.4061 0.2500
K: 0.7170 0.2830 0.7500
Ho: 0.0000 0.0000 0.5000

Size of the total moment   0.01 μB/cell
Final energy   -53.6 eV/cell
Symmetry   Cmcm (63)
Crystal system   orthorhombic

Ho2Er2InNi2Ge4 | GGA-PBE | optimized geometry

abc: 7.9887 7.9887 7.0189
angles: 107.91 107.91 30.59
Atoms (fractional coordinates):
Er: 0.4087 0.4087 0.6091
Ge: 0.9341 0.9341 0.3376
In: 0.0000 0.0000 0.0000
Er: 0.5913 0.5913 0.3909
Ge: 0.7974 0.7974 0.7322
Ni: 0.2175 0.2175 0.6403
Ho: 0.3442 0.3442 0.0628
Ni: 0.7825 0.7825 0.3597
Ge: 0.2026 0.2026 0.2678
Ho: 0.6558 0.6558 0.9372
Ge: 0.0659 0.0659 0.6624

Size of the total moment   0.00 μB/cell
Energy relative to the lowest polymorph listed for this composition   0.05 kcal/mol of atoms
Symmetry   C2/m (12)
Crystal system   monoclinic

RbLuO3 | GGA-PBE | optimized geometry

abc: 4.3651 4.3651 4.3600
angles: 90.00 90.00 90.00
Each line ends with the local moment (μB).
Atoms (fractional coordinates):
Rb: 0.0000 0.0000 0.0745  0.00
O: 0.5000 0.5000 0.0800  0.55
Lu: 0.5000 0.5000 0.5802  -0.08
O: 0.0000 0.5000 0.5826  0.55
O: 0.5000 0.0000 0.5826  0.53

Size of the total moment   1.94 μB/cell
Final energy   -30.1 eV/cell
Symmetry   P4mm (99)
Crystal system   tetragonal

HoCoI3 | GGA-PBE | optimized geometry

abc: 8.8445 8.8445 6.8612
angles: 90.00 90.00 119.98
Each line ends with the local moment (μB).
Atoms (fractional coordinates):
I: 0.1440 0.8560 0.2500  0.04
Ho: 0.3333 0.6667 0.2500  0.58
I: 0.8560 0.7120 0.7500  0.04
I: 0.8560 0.1440 0.7500  0.04
I: 0.2880 0.1440 0.7500  0.04
Co: 0.0000 0.0000 0.0000  1.78
I: 0.7120 0.8560 0.2500  0.04
I: 0.1440 0.2880 0.2500  0.04
Ho: 0.6667 0.3333 0.7500  0.58
Co: 0.0000 0.0000 0.5000  1.78

Size of the total moment   5.95 μB/cell
Final energy   -33.6 eV/cell
Symmetry   P6_3/mmc (194)
Crystal system   hexagonal

BaHo2Os2 | GGA-PBE | optimized geometry

abc: 5.1116 5.1116 11.4291
angles: 90.00 90.00 120.00
Atoms (fractional coordinates):
Ho: 0.3333 0.6667 0.3862
Ba: 0.0000 0.0000 0.0000
Os: 0.3333 0.6667 0.8582
Ho: 0.3333 0.6667 0.1137
Ho: 0.6667 0.3333 0.8863
Ho: 0.6667 0.3333 0.6137
Ba: 0.0000 0.0000 0.5000
Os: 0.6667 0.3333 0.3582
Os: 0.6667 0.3333 0.1418
Os: 0.3333 0.6667 0.6418

Size of the total moment   0.02 μB/cell
Final energy   -61.1 eV/cell
Symmetry   P6_3/mmc (194)
Crystal system   hexagonal

ZrC | GGA-PBE | optimized geometry

abc: 3.2753 3.2753 2.9570
angles: 90.00 90.00 120.00
Atoms (fractional coordinates):
C: 0.6667 0.3333 0.7500
Zr: 0.3333 0.6667 0.2500

Size of the total moment   0.00 μB/cell
Energy relative to the lowest polymorph listed for this composition   16.60 kcal/mol of atoms
Symmetry   P-6m2 (187)
Crystal system   hexagonal

Nd2YMg3Tl2Hg | GGA-PBE | optimized geometry

abc: 4.6795 7.6163 7.6163
angles: 119.34 90.00 90.00
Atoms (fractional coordinates):
Tl: 0.5000 0.3344 0.6618
Mg: 0.5000 0.0000 0.2381
Nd: 0.0000 0.5806 0.9983
Mg: 0.5000 0.7634 0.7634
Hg: 0.0000 0.0069 0.0069
Y: 0.0000 0.4165 0.4165
Nd: 0.0000 0.9983 0.5806
Tl: 0.5000 0.6618 0.3344
Mg: 0.5000 0.2381 0.0000

Size of the total moment   0.01 μB/cell
Final energy   -29.2 eV/cell
Symmetry   Amm2 (38)
Crystal system   orthorhombic

BaAg2SnSe3S | GGA-PBE | optimized geometry

abc: 6.6831 6.6986 6.7439
angles: 116.26 110.87 101.03
Atoms (fractional coordinates):
Se: 0.1313 0.1256 0.6022
Ag: 0.3217 0.8221 0.5116
Sn: 0.4985 0.5102 0.0014
S: 0.4848 0.8778 0.0184
Se: 0.5224 0.5317 0.4002
Se: 0.8647 0.4652 0.9785
Ba: 0.0035 0.9969 0.0004
Ag: 0.6732 0.1706 0.4873

Final energy   -32.1 eV/cell
Symmetry   P1 (1)
Crystal system   triclinic

NaYHgSe3 | GGA-PBE | optimized geometry

abc: 7.2740 7.2740 11.1042
angles: 90.00 90.00 146.77
Atoms (fractional coordinates):
Se: 0.4126 0.5874 0.7500
Se: 0.8604 0.1396 0.0502
Hg: 0.0402 0.9598 0.7500
Y: 0.5000 0.5000 0.5000
Hg: 0.9598 0.0402 0.2500
Na: 0.7474 0.2526 0.7500
Se: 0.8604 0.1396 0.4498
Se: 0.1396 0.8604 0.5502
Se: 0.1396 0.8604 0.9498
Na: 0.2526 0.7474 0.2500
Se: 0.5874 0.4126 0.2500
Y: 0.5000 0.5000 0.0000

Size of the total moment   0.01 μB/cell
Energy relative to the lowest polymorph listed for this composition   0.01 kcal/mol of atoms
Symmetry   Cmcm (63)
Crystal system   orthorhombic

Al4Cu9 | GGA-PBE | optimized geometry

abc: 8.6848 8.6848 8.6848
angles: 90.00 90.00 90.00
Atoms (fractional coordinates):
Cu: 0.6838 0.9691 0.3162
Cu: 0.3162 0.6838 0.9691
Cu: 0.8306 0.8306 0.8306
Al: 0.4652 0.8096 0.1904
Cu: 0.6059 0.3941 0.3941
Cu: 0.5000 0.8550 0.5000
Cu: 0.0000 0.6439 0.0000
Cu: 0.5000 0.1450 0.5000
Cu: 0.1694 0.8306 0.1694
Cu: 0.3162 0.3162 0.0309
Cu: 0.6838 0.6838 0.0309
Al: 0.4652 0.1904 0.8096
Cu: 0.3255 0.6745 0.6745
Cu: 0.3162 0.9691 0.6838
Cu: 0.6838 0.0309 0.6838
Cu: 0.0309 0.6838 0.6838
Al: 0.5348 0.1904 0.1904
Al: 0.8096 0.5348 0.8096
Cu: 0.0000 0.0000 0.6439
Al: 0.1904 0.8096 0.4652
Al: 0.1207 0.8793 0.8793
Cu: 0.3561 0.0000 0.0000
Cu: 0.8306 0.1694 0.1694
Cu: 0.3941 0.6059 0.3941
Cu: 0.3941 0.3941 0.6059
Cu: 0.8550 0.5000 0.5000
Cu: 0.6838 0.3162 0.9691
Al: 0.1904 0.4652 0.8096
Cu: 0.1694 0.1694 0.8306
Al: 0.8096 0.8096 0.5348
Al: 0.8793 0.1207 0.8793
Cu: 0.3162 0.0309 0.3162
Cu: 0.6745 0.6745 0.3255
Al: 0.8793 0.8793 0.1207
Al: 0.1904 0.5348 0.1904
Cu: 0.3255 0.3255 0.3255
Al: 0.8096 0.1904 0.4652
Cu: 0.5000 0.5000 0.8550
Al: 0.1904 0.1904 0.5348
Cu: 0.0000 0.3561 0.0000
Cu: 0.6745 0.3255 0.6745
Cu: 0.6059 0.6059 0.6059
Al: 0.8096 0.4652 0.1904
Cu: 0.0309 0.3162 0.3162
Cu: 0.9691 0.6838 0.3162
Al: 0.1207 0.1207 0.1207
Cu: 0.6439 0.0000 0.0000
Cu: 0.0000 0.0000 0.3561
Cu: 0.5000 0.5000 0.1450
Cu: 0.1450 0.5000 0.5000
Al: 0.5348 0.8096 0.8096
Cu: 0.9691 0.3162 0.6838

Final energy   -204.7 eV/cell
Symmetry   P-43m (215)
Crystal system   cubic

Cs2AgBr3Cl | GGA-PBE | optimized geometry

abc: 4.8063 7.9839 7.9839
angles: 87.64 90.00 90.00
Atoms (fractional coordinates):
Br: 0.0000 0.7643 0.2387
Ag: 0.0000 0.0010 0.0010
Br: 0.0000 0.7748 0.7748
Cs: 0.5000 0.0122 0.4915
Br: 0.0000 0.2387 0.7643
Cs: 0.5000 0.4915 0.0122
Cl: 0.0000 0.2176 0.2176

Final energy   -19.8 eV/cell
Symmetry   Amm2 (38)
Crystal system   orthorhombic

TbTmZr | GGA-PBE | optimized geometry

abc: 5.1849 5.1849 5.1849
angles: 60.00 60.00 60.00
Each line ends with the local moment (μB).
Atoms (fractional coordinates):
Zr: 0.0000 0.0000 0.0000  0.58
Tm: 0.7500 0.7500 0.7500  0.18
Tb: 0.2500 0.2500 0.2500  0.16

Size of the total moment   1.14 μB/cell
Energy relative to the lowest polymorph listed for this composition   0.00 kcal/mol of atoms
Symmetry   F-43m (216)
Crystal system   cubic
Calculated formation energy   2.4 eV per formula unit

LiReO3 | GGA-PBE | optimized geometry

abc: 3.8618 3.8618 3.8238
angles: 90.00 90.00 90.00
Atoms (fractional coordinates):
Re: 0.5000 0.5000 0.8189
O: 0.5000 0.5000 0.3226
O: 0.5000 0.0000 0.8329
Li: 0.0000 0.0000 0.0927
O: 0.0000 0.5000 0.8329

Size of the total moment   0.00 μB/cell
Final energy   -37.3 eV/cell
Symmetry   P4mm (99)
Crystal system   tetragonal

GaNi3 | GGA-PBE | optimized geometry

abc: 5.0914 5.0914 4.0871
angles: 90.00 90.00 120.00
Each line ends with the local moment (μB).
Atoms (fractional coordinates):
Ni: 0.6712 0.8356 0.2500  0.13
Ni: 0.1644 0.8356 0.2500  0.20
Ga: 0.3333 0.6667 0.7500  -0.01
Ni: 0.8356 0.1644 0.7500  0.20
Ni: 0.3288 0.1644 0.7500  0.13
Ni: 0.8356 0.6712 0.7500  0.18
Ni: 0.1644 0.3288 0.2500  0.18
Ga: 0.6667 0.3333 0.2500  -0.01

Size of the total moment   0.95 μB/cell
Final energy   -41.8 eV/cell
Symmetry   P6_3/mmc (194)
Crystal system   hexagonal

HgAuSO | GGA-PBE | optimized geometry

abc: 6.2574 6.9309 7.4043
angles: 90.00 87.70 90.00
Atoms (fractional coordinates):
O: 0.7019 0.3052 0.2190
Hg: 0.9322 0.2529 0.9818
O: 0.7019 0.1948 0.7190
O: 0.2981 0.8052 0.2810
Au: 0.5111 0.5611 0.2518
Hg: 0.9322 0.2471 0.4818
S: 0.2309 0.1782 0.7476
Au: 0.4889 0.4389 0.7482
O: 0.2981 0.6948 0.7810
Au: 0.4889 0.0611 0.2482
S: 0.7691 0.8218 0.2524
S: 0.2309 0.3218 0.2476
Hg: 0.0678 0.7471 0.0182
Hg: 0.0678 0.7529 0.5182
S: 0.7691 0.6782 0.7524
Au: 0.5111 0.9389 0.7518

Energy relative to the lowest polymorph listed for this composition   0.00 kcal/mol of atoms
Symmetry   P2_1/c (14)
Crystal system   monoclinic

Y3Co2Ge3 | GGA-PBE | optimized geometry

abc: 5.6363 5.6363 14.0416
angles: 90.00 90.00 136.55
Atoms (fractional coordinates):
Ge: 0.1627 0.8373 0.2500
Y: 0.1401 0.8599 0.7500
Ge: 0.8686 0.1314 0.0392
Y: 0.5816 0.4184 0.1092
Y: 0.4184 0.5816 0.8908
Y: 0.8599 0.1401 0.2500
Y: 0.5816 0.4184 0.3908
Co: 0.2926 0.7074 0.4024
Ge: 0.1314 0.8686 0.5392
Co: 0.7074 0.2926 0.9024
Ge: 0.8373 0.1627 0.7500
Y: 0.4184 0.5816 0.6092
Co: 0.7074 0.2926 0.5976
Co: 0.2926 0.7074 0.0976
Ge: 0.1314 0.8686 0.9608
Ge: 0.8686 0.1314 0.4608

Size of the total moment   0.01 μB/cell
Final energy   -106.6 eV/cell
Symmetry   Cmcm (63)
Crystal system   orthorhombic

DyErTlN | GGA-PBE | optimized geometry

abc: 3.5133 3.5133 15.6822
angles: 90.00 90.00 120.00
Atoms (fractional coordinates):
Tl: 0.3333 0.6667 0.0000
Er: 0.3333 0.6667 0.3343
Er: 0.3333 0.6667 0.6657
N: 0.0000 0.0000 0.7475
Dy: 0.6667 0.3333 0.8337
Dy: 0.6667 0.3333 0.1663
N: 0.0000 0.0000 0.2525
Tl: 0.6667 0.3333 0.5000

Size of the total moment   0.00 μB/cell
Final energy   -47.8 eV/cell
Symmetry   P-6m2 (187)
Crystal system   hexagonal

Sm2Ir5C4 | GGA-PBE | optimized geometry

abc: 7.5031 6.0863 5.8330
angles: 77.99 52.51 49.50
Atoms (fractional coordinates):
C: 0.5208 0.2173 0.7827
Ir: 0.5000 0.5000 0.0000
C: 0.2173 0.5208 0.4792
C: 0.4792 0.7827 0.2173
Sm: 0.8449 0.8449 0.1551
Ir: 0.7500 0.7500 0.7500
Ir: 0.5000 0.5000 0.5000
Ir: 0.0000 0.0000 0.5000
Sm: 0.1551 0.1551 0.8449
Ir: 0.2500 0.2500 0.2500
C: 0.7827 0.4792 0.5208

Size of the total moment   0.00 μB/cell
Final energy   -88.4 eV/cell
Symmetry   Fmmm (69)
Crystal system   orthorhombic